## 1
Below is LaTeBrN2 at its PBEsol-relaxed geometry, with properties calculated at the meta-GGA SCAN level.

The structure in extended XYZ format:
```
5
Lattice="4.210 0.000 0.000 0.000 4.210 0.000 0.000 0.000 6.923" Properties=species:S:1:pos:R:3 pbc="T T T"
La 0.000 0.000 0.000
Te 0.000 0.000 3.461
Br 2.105 2.105 3.461
N 0.000 2.105 0.000
N 2.105 0.000 0.000
```

Symmetry: P4/mmm, No. 123


## 2
Below is LaTeBrN2 at its PBEsol-relaxed geometry, with properties calculated at the meta-GGA SCAN level.

The structure in extended XYZ format:
```
5
Lattice="4.387 0.000 0.000 0.000 4.387 0.000 0.000 0.000 5.179" Properties=species:S:1:pos:R:3 pbc="T T T"
La 0.000 0.000 0.000
Te 2.194 2.194 0.000
Br 2.194 2.194 2.589
N 0.000 2.194 2.589
N 2.194 0.000 2.589
```

Symmetry: P4/mmm, No. 123


The relative energies come out as 1 0.0; 2 40.3, with values in kJ/mol of atoms.


## 1
Below is Zr2SiPb at its PBEsol-relaxed geometry, with properties calculated at the meta-GGA SCAN level.

The structure in extended XYZ format:
```
4
Lattice="2.020 -2.482 0.000 2.020 2.482 0.000 0.000 0.000 8.121" Properties=species:S:1:pos:R:3 pbc="T T T"
Zr 0.000 0.000 1.759
Zr 0.000 0.000 6.362
Si 2.020 0.000 0.000
Pb 2.020 0.000 4.060
```

Symmetry: Cmmm, No. 65


## 2
Below is Zr2SiPb at its PBEsol-relaxed geometry, with properties calculated at the meta-GGA SCAN level.

The structure in extended XYZ format:
```
4
Lattice="-2.056 2.056 4.777 2.056 -2.056 4.777 2.056 2.056 -4.777" Properties=species:S:1:pos:R:3 pbc="T T T"
Zr 0.000 0.000 0.000
Zr 0.000 2.056 2.389
Si 2.056 0.000 2.389
Pb 0.000 0.000 4.777
```

Symmetry: I-4m2, No. 119


## 3
Below is Zr2SiPb at its PBEsol-relaxed geometry, with properties calculated at the meta-GGA SCAN level.

The structure in extended XYZ format:
```
4
Lattice="3.149 0.000 0.000 0.000 3.149 0.000 0.000 0.000 8.107" Properties=species:S:1:pos:R:3 pbc="T T T"
Zr 0.000 0.000 1.749
Zr 0.000 0.000 6.358
Si 1.574 1.574 0.000
Pb 1.574 1.574 4.054
```

Symmetry: P4/mmm, No. 123


The relative energies come out as 1 0.0; 2 13.2; 3 6.3, with values in kJ/mol of atoms.


## 1
Below is YZnTe2 at its PBEsol-relaxed geometry, with properties calculated at the meta-GGA SCAN level.

The structure in extended XYZ format:
```
4
Lattice="-2.591 2.591 3.758 2.591 -2.591 3.758 2.591 2.591 -3.758" Properties=species:S:1:pos:R:3 pbc="T T T"
Y 0.000 0.000 0.000
Zn 0.000 0.000 3.758
Te 2.591 0.000 1.879
Te 0.000 2.591 1.879
```

Symmetry: I4/mmm, No. 139


## 2
Below is YZnTe2 at its PBEsol-relaxed geometry, with properties calculated at the meta-GGA SCAN level.

The structure in extended XYZ format:
```
4
Lattice="0.000 3.701 3.701 3.701 0.000 3.701 3.701 3.701 0.000" Properties=species:S:1:pos:R:3 pbc="T T T"
Y 0.000 0.000 0.000
Zn 5.551 5.551 5.551
Te 1.850 1.850 1.850
Te 3.701 3.701 3.701
```

Symmetry: F-43m, No. 216


The relative energies come out as 1 0.0; 2 29.4, with values in kJ/mol of atoms.


## 1
Below is Zr5Ag at its PBEsol-relaxed geometry, with properties calculated at the meta-GGA SCAN level.

The structure in extended XYZ format:
```
6
Lattice="0.000 4.020 4.020 4.020 0.000 4.020 4.020 4.020 0.000" Properties=species:S:1:pos:R:3 pbc="T T T"
Zr 0.000 0.000 0.000
Zr 5.039 3.000 3.000
Zr 3.000 5.039 3.000
Zr 3.000 3.000 5.039
Zr 5.039 5.039 5.039
Ag 2.010 2.010 2.010
```

Symmetry: F-43m, No. 216


## 2
Below is Zr5Ag at its PBEsol-relaxed geometry, with properties calculated at the meta-GGA SCAN level.

The structure in extended XYZ format:
```
6
Lattice="5.646 -1.557 0.000 5.646 1.557 0.000 -1.982 0.000 7.220" Properties=species:S:1:pos:R:3 pbc="T T T"
Zr 0.000 0.000 0.000
Zr -0.989 0.000 4.401
Zr 3.733 0.000 1.911
Zr 6.765 0.000 2.585
Zr 6.226 0.000 6.699
Ag 2.204 0.000 4.813
```

Symmetry: Cm, No. 8


The relative energies come out as 1 35.4; 2 0.0, with values in kJ/mol of atoms.


## 1
Below is PbIO2 at its PBEsol-relaxed geometry, with properties calculated at the meta-GGA SCAN level.

The structure in extended XYZ format:
```
4
Lattice="1.873 1.081 6.660 -1.873 1.081 6.660 0.000 -2.163 6.660" Properties=species:S:1:pos:R:3 pbc="T T T"
Pb 0.000 0.000 0.000
I 0.000 0.000 9.990
O 0.000 0.000 7.850
O 0.000 0.000 12.130
```

Symmetry: R-3m, No. 166


## 2
Below is PbIO2 at its PBEsol-relaxed geometry, with properties calculated at the meta-GGA SCAN level.

The structure in extended XYZ format:
```
4
Lattice="0.000 3.201 3.201 3.201 0.000 3.201 3.201 3.201 0.000" Properties=species:S:1:pos:R:3 pbc="T T T"
Pb 0.000 0.000 0.000
I 3.201 3.201 3.201
O 1.600 1.600 1.600
O 4.801 4.801 4.801
```

Symmetry: Fm-3m, No. 225


The relative energies come out as 1 0.0; 2 79.3, with values in kJ/mol of atoms.


## 1
Below is Co3TcO at its PBEsol-relaxed geometry, with properties calculated at the meta-GGA SCAN level.

The structure in extended XYZ format:
```
5
Lattice="3.755 0.000 0.000 0.000 3.755 0.000 0.000 0.000 3.755" Properties=species:S:1:pos:R:3 pbc="T T T"
Co 0.000 0.000 1.877
Co 0.000 1.877 0.000
Co 1.877 0.000 0.000
Tc 1.877 1.877 1.877
O 0.000 0.000 0.000
```

Symmetry: Pm-3m, No. 221


## 2
Below is Co3TcO at its PBEsol-relaxed geometry, with properties calculated at the meta-GGA SCAN level.

The structure in extended XYZ format:
```
5
Lattice="4.317 0.000 0.000 0.000 4.317 0.000 0.000 0.000 4.317" Properties=species:S:1:pos:R:3 pbc="T T T"
Co 0.000 0.000 2.158
Co 0.000 2.158 0.000
Co 2.158 0.000 0.000
Tc 0.000 0.000 0.000
O 2.158 2.158 2.158
```

Symmetry: Pm-3m, No. 221


The relative energies come out as 1 0.0; 2 171.6, with values in kJ/mol of atoms.